[1]
A geometry-optimized Nb4CoTc3 structure. Source: the Alexandria database, functional PBE.

* SG: No. 123

a b c (Å): 3.1863 3.1863 12.5557
angles (deg): 90.00 90.00 90.00
Element x y z (fractional)
Tc: 0.5000 0.5000 0.5000
Tc: 0.5000 0.5000 0.2450
Tc: 0.5000 0.5000 0.7550
Nb: 0.0000 0.0000 0.6273
Nb: 0.0000 0.0000 0.1203
Nb: 0.0000 0.0000 0.3727
Nb: 0.0000 0.0000 0.8797
Co: 0.5000 0.5000 0.0000

---

[2]
A geometry-optimized NbCo2Tc2 structure. Source: the Alexandria database, functional PBE.

* SG: No. 127
* E above lowest polymorph: 1.418 kcal/mol of atoms

a b c (Å): 7.2539 7.2539 2.6300
angles (deg): 90.00 90.00 90.00
Element x y z (fractional)
Nb: 0.0000 0.0000 0.0000
Nb: 0.5000 0.5000 0.0000
Tc: 0.6258 0.1258 0.0000
Tc: 0.1258 0.3742 0.0000
Tc: 0.8742 0.6258 0.0000
Tc: 0.3742 0.8742 0.0000
Co: 0.8301 0.3301 0.5000
Co: 0.6699 0.8301 0.5000
Co: 0.3301 0.1699 0.5000
Co: 0.1699 0.6699 0.5000

---

[3]
A geometry-optimized NbCoTc structure. Source: the Alexandria database, functional PBE.

* SG: No. 107

a b c (Å): 3.1821 3.1821 4.9397
angles (deg): 108.79 108.79 90.00
Element x y z (fractional)
Nb: 0.9503 0.9503 0.9006
Tc: 0.2821 0.2821 0.5642
Co: 0.6176 0.6176 0.2352

---

[4]
A geometry-optimized Nb2CoTc structure. Source: the Alexandria database, functional PBE.

* SG: No. 122

a b c (Å): 6.9051 6.9051 5.5955
angles (deg): 51.90 51.90 90.00
Element x y z (fractional)
Co: 0.2500 0.7500 0.5000
Co: 0.5000 0.5000 0.0000
Nb: 0.8750 0.8592 0.7500
Nb: 0.1408 0.6250 0.2500
Nb: 0.3750 0.3908 0.7500
Nb: 0.6092 0.1250 0.2500
Tc: 0.7500 0.2500 0.5000
Tc: 0.0000 0.0000 0.0000

---

[5]
A geometry-optimized NbCo2Tc structure. Source: the Alexandria database, functional PBE.

* SG: No. 225
* E above lowest polymorph: 4.505 kcal/mol of atoms

a b c (Å): 4.2725 4.2725 4.2725
angles (deg): 60.00 60.00 60.00
Element x y z (fractional)
Tc: 0.5000 0.5000 0.5000
Co: 0.2500 0.2500 0.2500
Co: 0.7500 0.7500 0.7500
Nb: 0.0000 0.0000 0.0000

---

[6]
A geometry-optimized Nb3CoTc structure. Source: the Alexandria database, functional PBE.

* SG: No. 221
* E above lowest polymorph: 13.043 kcal/mol of atoms

a b c (Å): 4.7470 4.7470 4.7470
angles (deg): 90.00 90.00 90.00
Element x y z (fractional)
Nb: 0.0000 0.5000 0.0000
Nb: 0.5000 0.0000 0.0000
Nb: 0.0000 0.0000 0.5000
Co: 0.5000 0.5000 0.5000
Tc: 0.0000 0.0000 0.0000

---

[7]
A geometry-optimized Nb2CoTc structure. Source: the Alexandria database, functional PBE.

* SG: No. 123

a b c (Å): 3.1725 3.1725 6.1753
angles (deg): 90.00 90.00 90.00
Element x y z (fractional)
Co: 0.5000 0.5000 0.0000
Nb: 0.0000 0.0000 0.2450
Nb: 0.0000 0.0000 0.7550
Tc: 0.5000 0.5000 0.5000

---

[8]
A geometry-optimized Nb2CoTc2 structure. Source: the Alexandria database, functional PBE.

* SG: No. 127

a b c (Å): 6.2988 6.2988 4.0735
angles (deg): 90.00 90.00 90.00
Element x y z (fractional)
Nb: 0.1836 0.6836 0.5000
Nb: 0.3164 0.1836 0.5000
Nb: 0.8164 0.3164 0.5000
Nb: 0.6836 0.8164 0.5000
Tc: 0.6377 0.1377 0.0000
Tc: 0.3623 0.8623 0.0000
Tc: 0.1377 0.3623 0.0000
Tc: 0.8623 0.6377 0.0000
Co: 0.5000 0.5000 0.0000
Co: 0.0000 0.0000 0.0000

---

Values of formation energy from the elements, in order: -0.2594, 0.0912, 0.0510, 0.4195, 0.1129, 1.4522, -0.1716, 0.2127, all in eV per atom.
Values of E_tot, in order: -10.07, -8.91, -9.13, -8.98, -8.55, -8.08, -9.57, -9.38, all in eV per atom.
Values of DOS(E_F), in order: 4.44, 17.24, 3.91, 8.19, 9.03, 9.97, 2.67, 11.08, all in states/eV per cell.